(1)
Tl5Cu3 | PBE-GGA | relaxed

abc: 6.9125 6.9125 4.1180
angles: 90.00 90.00 103.14
Closest atoms and distances in Å follow each position.
Positions (direct):
Cu 0.7008 0.2992 0.5000  6 Tl 2.85-3.02, 2 Cu 2.99
Tl 0.7139 0.7139 0.5000  4 Cu 2.76-2.85
Tl 0.0000 0.5000 0.0000  4 Cu 3.02
Cu 0.5000 0.5000 0.0000  4 Tl 2.76, 4 Cu 2.99
Tl 0.2861 0.2861 0.5000  4 Cu 2.76-2.85
Tl 0.5000 0.0000 0.0000  4 Cu 3.02
Tl 0.0000 0.0000 0.0000  8 Tl 3.21-3.46
Cu 0.2992 0.7008 0.5000  6 Tl 2.85-3.02, 2 Cu 2.99

Properties
SG: No. 65
Energy of formation in eV per formula unit: 2.6
Crystal system: orthorhombic
Spin magnetization in μB per formula unit: 0.000
VASP energy in Ha/atom: -0.0990

=====

(2)
Tl2Cu | PBE-GGA | relaxed

abc: 6.9095 6.9095 6.7464
angles: 74.37 74.37 28.07
Closest atoms and distances in Å follow each position.
Positions (direct):
Cu 0.9975 0.9975 0.8010  1 Cu 2.70, 4 Tl 2.91-2.93
Tl 0.6284 0.6284 0.4330  4 Cu 3.10, 5 Tl 3.31-3.43
Tl 0.3470 0.3470 0.0874  4 Cu 2.91-2.93
Tl 0.3716 0.3716 0.5670  4 Cu 3.10, 5 Tl 3.31-3.43
Tl 0.6530 0.6530 0.9126  4 Cu 2.91-2.93
Cu 0.0025 0.0025 0.1990  1 Cu 2.70, 4 Tl 2.91-2.93

Properties
SG: No. 12
Energy of formation in eV per formula unit: 0.7
Crystal system: monoclinic
Spin magnetization in μB per formula unit: 0.000
VASP energy in Ha/atom: -0.0997

=====

(3)
Tl2Cu | PBE-GGA | relaxed

abc: 11.0216 11.0216 3.9421
angles: 90.00 90.00 161.22
Closest atoms and distances in Å follow each position.
Positions (direct):
Tl 0.3036 0.6964 0.7500  8 Tl 3.29-3.60
Tl 0.4245 0.5755 0.2500  6 Cu 2.81-3.01
Cu 0.9647 0.0353 0.7500  2 Cu 2.50
Cu 0.0353 0.9647 0.2500  2 Cu 2.50
Tl 0.6964 0.3036 0.2500  8 Tl 3.29-3.60
Tl 0.5755 0.4245 0.7500  6 Cu 2.81-3.01

Properties
SG: No. 63
Energy of formation in eV per formula unit: 0.6
Crystal system: orthorhombic
Spin magnetization in μB per formula unit: 0.000
VASP energy in Ha/atom: -0.1003

=====

(4)
TlCu8 | PBE-GGA | relaxed

abc: 5.9255 5.9255 5.9255
angles: 95.92 95.92 142.54
Closest atoms and distances in Å follow each position.
Positions (direct):
Cu 0.0000 0.6570 0.6570  11 Cu 2.49-2.71, 1 Tl 2.72
Cu 0.3228 0.6772 0.0000  8 Cu 2.51-2.71, 2 Tl 2.75
Cu 0.6772 0.6772 0.3544  8 Cu 2.51-2.71, 2 Tl 2.75
Cu 0.6772 0.3228 0.0000  8 Cu 2.51-2.71, 2 Tl 2.75
Cu 0.6570 0.0000 0.6570  11 Cu 2.49-2.71, 1 Tl 2.72
Cu 0.0000 0.3430 0.3430  11 Cu 2.49-2.71, 1 Tl 2.72
Cu 0.3430 0.0000 0.3430  11 Cu 2.49-2.71, 1 Tl 2.72
Cu 0.3228 0.3228 0.6456  8 Cu 2.51-2.71, 2 Tl 2.75
Tl 0.0000 0.0000 0.0000  12 Cu 2.72-2.75

Properties
SG: No. 139
Energy of formation in eV per formula unit: 1.1
Crystal system: tetragonal
Spin magnetization in μB per formula unit: 0.000
VASP energy in Ha/atom: -0.1389

=====

(5)
Tl7Cu | PBE-GGA | relaxed

abc: 6.8916 6.8916 6.8916
angles: 60.00 60.00 60.00
Closest atoms and distances in Å follow each position.
Positions (direct):
Tl 0.5000 0.0000 0.0000  10 Tl 3.45, 2 Cu 3.45
Tl 0.0000 0.5000 0.5000  10 Tl 3.45, 2 Cu 3.45
Cu 0.0000 0.0000 0.0000  12 Tl 3.45
Tl 0.5000 0.5000 0.5000  12 Tl 3.45
Tl 0.5000 0.0000 0.5000  10 Tl 3.45, 2 Cu 3.45
Tl 0.0000 0.5000 0.0000  10 Tl 3.45, 2 Cu 3.45
Tl 0.5000 0.5000 0.0000  10 Tl 3.45, 2 Cu 3.45
Tl 0.0000 0.0000 0.5000  10 Tl 3.45, 2 Cu 3.45

Properties
SG: No. 225
Energy of formation in eV per formula unit: 1.5
Crystal system: cubic
Spin magnetization in μB per formula unit: 0.000
VASP energy in Ha/atom: -0.0882

=====

(6)
Tl2Cu | PBE-GGA | relaxed

abc: 3.6890 3.6890 6.3482
angles: 90.00 90.00 120.00
Closest atoms and distances in Å follow each position.
Positions (direct):
Cu 0.0000 0.0000 0.0000  6 Tl 2.80
Tl 0.6667 0.3333 0.7136  3 Cu 2.80
Tl 0.3333 0.6667 0.2864  3 Cu 2.80

Properties
SG: No. 164
Energy of formation in eV per formula unit: 0.7
Crystal system: trigonal
Spin magnetization in μB per formula unit: 0.000
VASP energy in Ha/atom: -0.0992

=====

(7)
Tl2Cu | PBE-GGA | relaxed

abc: 4.8038 4.8038 7.4136
angles: 90.00 90.00 120.00
Closest atoms and distances in Å follow each position.
Positions (direct):
Tl 0.0000 0.0000 0.0000  8 Tl 3.34-3.71, 6 Cu 3.34
Cu 0.3333 0.6667 0.2500  3 Tl 2.77
Tl 0.6667 0.3333 0.2500  3 Cu 2.77
Cu 0.6667 0.3333 0.7500  3 Tl 2.77
Tl 0.0000 0.0000 0.5000  8 Tl 3.34-3.71, 6 Cu 3.34
Tl 0.3333 0.6667 0.7500  3 Cu 2.77

Properties
SG: No. 194
Energy of formation in eV per formula unit: 0.9
Crystal system: hexagonal
Spin magnetization in μB per formula unit: 0.000
VASP energy in Ha/atom: -0.0974

=====

(8)
Tl3Cu | PBE-GGA | relaxed

abc: 7.4118 7.4118 3.9441
angles: 90.00 90.00 103.07
Closest atoms and distances in Å follow each position.
Positions (direct):
Tl 0.8881 0.1119 0.2500  2 Cu 2.84
Tl 0.8160 0.5723 0.2500  2 Cu 2.86
Cu 0.2875 0.7125 0.2500  6 Tl 2.84-2.86
Tl 0.5723 0.8160 0.7500  2 Cu 2.86
Tl 0.1840 0.4277 0.7500  2 Cu 2.86
Tl 0.1119 0.8881 0.7500  2 Cu 2.84
Cu 0.7125 0.2875 0.7500  6 Tl 2.84-2.86
Tl 0.4277 0.1840 0.2500  2 Cu 2.86

Properties
SG: No. 63
Energy of formation in eV per formula unit: 0.7
Crystal system: orthorhombic
Spin magnetization in μB per formula unit: 0.000
VASP energy in Ha/atom: -0.0961

=====

(9)
Tl3Cu | PBE-GGA | relaxed

abc: 4.7170 4.7170 4.7170
angles: 90.00 90.00 90.00
Closest atoms and distances in Å follow each position.
Positions (direct):
Tl 0.5000 0.5000 0.0000  8 Tl 3.34, 4 Cu 3.34
Tl 0.5000 0.0000 0.5000  8 Tl 3.34, 4 Cu 3.34
Cu 0.0000 0.0000 0.0000  12 Tl 3.34
Tl 0.0000 0.5000 0.5000  8 Tl 3.34, 4 Cu 3.34

Properties
SG: No. 221
Energy of formation in eV per formula unit: 1.2
Crystal system: cubic
Spin magnetization in μB per formula unit: 0.000
VASP energy in Ha/atom: -0.0922

=====

(10)
TlCu2 | PBE-GGA | relaxed

abc: 4.3056 4.3056 3.2004
angles: 90.00 90.00 120.00
Closest atoms and distances in Å follow each position.
Positions (direct):
Tl 0.6667 0.3333 0.3333  12 Cu 2.91-3.01, 2 Tl 3.20
Cu 0.3333 0.6667 0.8048  3 Cu 2.49
Cu 0.0000 0.0000 0.8619  3 Cu 2.49

Properties
SG: No. 164
Energy of formation in eV per formula unit: 1.0
Crystal system: trigonal
Spin magnetization in μB per formula unit: 0.000
VASP energy in Ha/atom: -0.1169

=====

(11)
Tl4Cu5 | PBE-GGA | relaxed

abc: 8.2092 8.2092 5.8415
angles: 90.00 90.00 120.00
Closest atoms and distances in Å follow each position.
Positions (direct):
Tl 0.0000 0.3660 0.2500  3 Cu 2.64-2.81
Tl 0.3660 0.3660 0.7500  3 Cu 2.64-2.81
Tl 0.0000 0.0000 0.5000  2 Tl 2.92, 6 Cu 2.95
Cu 0.6871 0.6871 0.7500  3 Tl 2.64-2.81
Cu 0.3129 0.0000 0.7500  3 Tl 2.64-2.81
Cu 0.3333 0.6667 0.0000  8 Cu 2.92-3.18, 6 Tl 2.99
Tl 0.0000 0.6340 0.7500  3 Cu 2.64-2.81
Tl 0.0000 0.0000 0.0000  2 Tl 2.92, 6 Cu 2.95
Tl 0.6340 0.6340 0.2500  3 Cu 2.64-2.81
Cu 0.3333 0.6667 0.5000  8 Cu 2.92-3.18, 6 Tl 2.99
Tl 0.6340 0.0000 0.7500  3 Cu 2.64-2.81
Cu 0.6871 0.0000 0.2500  3 Tl 2.64-2.81
Cu 0.3129 0.3129 0.2500  3 Tl 2.64-2.81
Cu 0.0000 0.3129 0.7500  3 Tl 2.64-2.81
Cu 0.6667 0.3333 0.0000  8 Cu 2.92-3.18, 6 Tl 2.99
Tl 0.3660 0.0000 0.2500  3 Cu 2.64-2.81
Cu 0.6667 0.3333 0.5000  8 Cu 2.92-3.18, 6 Tl 2.99
Cu 0.0000 0.6871 0.2500  3 Tl 2.64-2.81

Properties
SG: No. 193
Energy of formation in eV per formula unit: 3.6
Crystal system: hexagonal
Spin magnetization in μB per formula unit: 0.000
VASP energy in Ha/atom: -0.1077

=====

(12)
TlCu2 | PBE-GGA | relaxed

abc: 9.0888 9.0888 3.5228
angles: 90.00 90.00 157.43
Closest atoms and distances in Å follow each position.
Positions (direct):
Tl 0.3178 0.6822 0.7500  4 Cu 2.91-2.93
Cu 0.9486 0.0514 0.7500  8 Cu 2.50-2.57
Cu 0.0514 0.9486 0.2500  8 Cu 2.50-2.57
Cu 0.4477 0.5523 0.2500  8 Cu 2.50-2.57
Tl 0.6822 0.3178 0.2500  4 Cu 2.91-2.93
Cu 0.5523 0.4477 0.7500  8 Cu 2.50-2.57

Properties
SG: No. 63
Energy of formation in eV per formula unit: 0.5
Crystal system: orthorhombic
Spin magnetization in μB per formula unit: 0.000
VASP energy in Ha/atom: -0.1233

=====

(13)
TlCu4 | PBE-GGA | relaxed

abc: 6.4050 6.4050 6.4050
angles: 146.79 146.79 47.68
Closest atoms and distances in Å follow each position.
Positions (direct):
Cu 0.3939 0.3939 0.0000  5 Cu 2.49
Tl 0.0000 0.0000 0.0000  8 Cu 2.87
Cu 0.7500 0.2500 0.5000  8 Cu 2.49-2.59
Cu 0.2500 0.7500 0.5000  8 Cu 2.49-2.59
Cu 0.6061 0.6061 0.0000  5 Cu 2.49

Properties
SG: No. 139
Energy of formation in eV per formula unit: 1.3
Crystal system: tetragonal
Spin magnetization in μB per formula unit: 0.000
VASP energy in Ha/atom: -0.1283